Compound: K2NaSn4Pt3
Source: Alexandria via LeMat-Bulk
Functional: PBE
Structure: optimized geometry

Cell: 4.8710 4.8710 10.7287 Å, 90.00 90.00 90.00°
Last column: nearest neighbours and their distance in Å.
Atoms (fractional coordinates):
Sn  0.0000  0.5000  0.3641  3 Pt 2.64-2.84, 2 Na 2.84
Pt  0.0000  0.0000  0.5000  4 Sn 2.84
Sn  0.5000  0.5000  0.0000  4 Pt 2.75
Na  0.5000  0.5000  0.5000  4 Sn 2.84
Pt  0.0000  0.5000  0.1182  5 Sn 2.64-2.75
Sn  0.0000  0.0000  0.0000  4 Pt 2.75
K  0.0000  0.5000  0.7485  7 Pt 3.61-3.97, 2 Na 3.61, 8 Sn 3.64-3.65
K  0.5000  0.0000  0.2515  2 Na 3.61, 7 Pt 3.61-3.97, 8 Sn 3.64-3.65
Sn  0.5000  0.0000  0.6359  3 Pt 2.64-2.84, 2 Na 2.84
Pt  0.5000  0.0000  0.8818  5 Sn 2.64-2.75

Its calculated volume is 255 Å³/cell. The calculated formation energy is -0.354 eV per atom. As for the crystal system: tetragonal. Its total energy is -4.118 eV/atom. The space group is P-4m2 (115).